No. 1
3
Lattice="3.593 0.000 0.000 -1.796 3.112 0.000 0.000 0.000 3.532" Properties=species:S:1:pos:R:3 comment="PBE UNiC, optimized geometry" space_group="P3m1 (156)" ef_mev_per_atom=22 density_g_cm3=12.98 relative_energy_ev_per_atom=0.045 magmom_total_mub_per_cell=1.20 pbc="T T T"
Ni 0.000 0.000 2.940
C 0.000 2.074 2.949
U 1.796 1.037 1.175



No. 2
4
Lattice="4.171 -0.020 0.010 2.300 3.480 0.010 2.148 1.149 7.386" Properties=species:S:1:pos:R:3 comment="PBE Ca2SiCl, optimized geometry" space_group="C2/m (12)" density_g_cm3=2.22 raw_formation_energy_mev_per_atom=-1032 relative_energy_ev_per_atom=0.036 magmom_total_mub_per_cell=0.00 pbc="T T T"
Ca 0.072 0.039 0.130
Ca 4.237 2.266 3.573
Cl 6.464 3.457 5.554
Si 2.155 1.152 1.851



No. 3
4
Lattice="3.207 0.000 0.000 0.000 4.675 0.000 0.000 0.000 6.207" Properties=species:S:1:pos:R:3 comment="PBE ZnCdIn2, optimized geometry" space_group="Pmm2 (25)" ef_mev_per_atom=90 density_g_cm3=7.27 relative_energy_ev_per_atom=0.033 magmom_total_mub_per_cell=0.00 pbc="T T T"
Cd 1.603 2.338 4.602
In 0.000 0.000 6.187
In 1.603 2.338 1.624
Zn 0.000 0.000 3.103



No. 4
4
Lattice="4.863 0.000 0.000 2.432 4.212 0.000 2.432 1.404 3.971" Properties=species:S:1:pos:R:3 comment="PBE HoMgInIr, optimized geometry" space_group="F-43m (216)" ef_mev_per_atom=-396 density_g_cm3=10.13 magmom_total_mub_per_cell=0.00 pbc="T T T"
Mg 7.295 4.212 2.978
Ir 0.000 0.000 0.000
Ho 2.432 1.404 0.993
In 4.863 2.808 1.985



No. 5
10
Lattice="4.511 0.000 0.000 0.000 3.381 0.000 0.000 -1.691 13.365" Properties=species:S:1:pos:R:3 comment="PBE LiYAl3, optimized geometry" space_group="Cmcm (63)" ef_mev_per_atom=-279 density_g_cm3=2.88 relative_energy_ev_per_atom=0.000 magmom_total_mub_per_cell=0.00 pbc="T T T"
Li 1.128 1.691 7.624
Li 3.383 0.000 5.742
Y 1.128 0.000 2.005
Y 3.383 1.691 11.360
Al 1.128 0.000 9.994
Al 3.383 1.691 3.371
Al 1.128 0.000 12.695
Al 3.383 1.691 0.671
Al 3.383 0.000 8.587
Al 1.128 1.691 4.779



No. 6
4
Lattice="-2.311 -1.687 -4.659 3.021 -2.528 -3.791 -0.691 -5.343 -0.930" Properties=species:S:1:pos:R:3 comment="PBE AcDyTlGe, optimized geometry" space_group="F-43m (216)" ef_mev_per_atom=-386 density_g_cm3=9.58 magmom_total_mub_per_cell=0.00 pbc="T T T"
Ac 0.009 -4.779 -4.690
Ge 0.005 -2.390 -2.345
Tl 0.014 -7.169 -7.035
Dy 0.000 0.000 0.000



No. 7
10
Lattice="-3.803 -4.525 -3.878 2.588 -2.471 -6.098 1.996 -6.763 -0.510" Properties=species:S:1:pos:R:3 comment="PBE Ca2BiPd7, optimized geometry" space_group="Fm-3m (225)" ef_mev_per_atom=125 density_g_cm3=6.87 magmom_total_mub_per_cell=0.00 pbc="T T T"
Ca 0.195 -3.440 -2.622
Ca 0.586 -10.320 -7.865
Bi 0.000 0.000 0.000
Pd 0.390 -6.880 -5.243
Pd 2.477 -8.051 -5.922
Pd 1.483 -4.687 -5.668
Pd -0.703 -9.073 -4.818
Pd -0.408 -6.938 -7.598
Pd 1.189 -6.822 -2.889
Pd -1.696 -5.709 -4.564



No. 8
4
Lattice="0.000 3.990 3.990 3.990 0.000 3.990 3.990 3.990 0.000" Properties=species:S:1:pos:R:3 comment="PBE SrTl2Sb, optimized geometry" space_group="Fm-3m (225)" density_g_cm3=8.08 raw_formation_energy_mev_per_atom=-271 relative_energy_ev_per_atom=0.171 magmom_total_mub_per_cell=0.00 pbc="T T T"
Sb 3.990 3.990 3.990
Tl 1.995 1.995 1.995
Tl 5.986 5.986 5.986
Sr 0.000 0.000 0.000



No. 9
10
Lattice="-1.442 -4.741 1.593 4.993 -1.275 0.729 -2.577 8.073 13.189" Properties=species:S:1:pos:R:3 comment="PBE Cs3K2H2Br3, optimized geometry" final_energy_ev_per_cell=-27.65 space_group="I4/mmm (139)" density_g_cm3=2.89 magmom_total_mub_per_cell=0.02 pbc="T T T"
Cs 1.579 -1.765 4.680
Cs -0.605 3.823 10.831
Cs 0.000 0.000 0.000
K 1.338 -0.241 8.998
K -0.364 2.299 6.513
H -1.122 0.163 7.972
H 2.096 1.896 7.539
Br 1.164 0.861 12.119
Br 1.776 -3.008 1.161
Br -0.189 1.197 3.392



No. 10
4
Lattice="3.914 0.000 0.000 0.000 5.735 -0.296 0.000 2.368 4.800" Properties=species:S:1:pos:R:3 comment="PBE CuPbBr2, optimized geometry" space_group="Pm (6)" density_g_cm3=6.47 raw_formation_energy_mev_per_atom=-326 relative_energy_ev_per_atom=0.000 magmom_total_mub_per_cell=0.00 pbc="T T T"
Br 0.000 2.294 4.551
Br 1.957 2.818 1.298
Cu 0.000 3.746 2.601
Pb 1.957 5.665 3.106



No. 11
8
Lattice="-4.376 1.007 2.509 1.073 -3.689 3.352 5.999 3.083 9.226" Properties=species:S:1:pos:R:3 comment="PBE Pr2Nd4DySc, optimized geometry" space_group="P2/m (10)" ef_mev_per_atom=20 density_g_cm3=6.60 magmom_total_mub_per_cell=0.00 pbc="T T T"
Pr 5.999 3.083 9.226
Pr 0.812 2.045 5.868
Nd 5.281 -0.494 9.410
Nd -2.585 0.896 5.677
Nd 0.135 -1.460 6.095
Nd 2.561 1.861 8.992
Dy -1.652 -1.341 2.930
Sc 3.536 -0.303 6.289



No. 12
4
Lattice="5.190 0.000 0.000 2.595 4.495 0.000 2.595 1.498 4.238" Properties=species:S:1:pos:R:3 comment="PBE DySc2In, optimized geometry" space_group="Fm-3m (225)" ef_mev_per_atom=-127 density_g_cm3=6.17 relative_energy_ev_per_atom=0.138 magmom_total_mub_per_cell=1.57 pbc="T T T"
Sc 2.595 1.498 1.059
Sc 7.785 4.495 3.178
In 5.190 2.996 2.119
Dy 0.000 0.000 0.000



Number 7 is which compound? Ca2BiPd7



Copy entry 8 word for word.
4
Lattice="0.000 3.990 3.990 3.990 0.000 3.990 3.990 3.990 0.000" Properties=species:S:1:pos:R:3 comment="PBE SrTl2Sb, optimized geometry" space_group="Fm-3m (225)" density_g_cm3=8.08 raw_formation_energy_mev_per_atom=-271 relative_energy_ev_per_atom=0.171 magmom_total_mub_per_cell=0.00 pbc="T T T"
Sb 3.990 3.990 3.990
Tl 1.995 1.995 1.995
Tl 5.986 5.986 5.986
Sr 0.000 0.000 0.000



Copy entry 5 word for word.
10
Lattice="4.511 0.000 0.000 0.000 3.381 0.000 0.000 -1.691 13.365" Properties=species:S:1:pos:R:3 comment="PBE LiYAl3, optimized geometry" space_group="Cmcm (63)" ef_mev_per_atom=-279 density_g_cm3=2.88 relative_energy_ev_per_atom=0.000 magmom_total_mub_per_cell=0.00 pbc="T T T"
Li 1.128 1.691 7.624
Li 3.383 0.000 5.742
Y 1.128 0.000 2.005
Y 3.383 1.691 11.360
Al 1.128 0.000 9.994
Al 3.383 1.691 3.371
Al 1.128 0.000 12.695
Al 3.383 1.691 0.671
Al 3.383 0.000 8.587
Al 1.128 1.691 4.779